(1)
GGA-PBE PmHoInPb, optimized geometry; formation energy = -0.463 eV per atom; magnetic moment = 0.0 Bohr magnetons per cell; offset from the most stable computed form = 0 meV per atom
1.0
5.012 0.000 0.000
0.000 5.012 0.000
0.000 0.000 8.939
Pm Ho In Pb
2 2 2 2
direct
0.000 0.000 0.000
0.500 0.500 0.500
0.000 0.000 0.500
0.500 0.500 0.000
0.000 0.500 0.250
0.500 0.000 0.750
0.000 0.500 0.750
0.500 0.000 0.250

(2)
GGA-PBE PrHoInPb, optimized geometry; formation energy = -0.420 eV per atom; magnetic moment = 0.0 Bohr magnetons per cell; offset from the most stable computed form = 44 meV per atom
1.0
7.745 0.000 0.000
0.000 7.745 0.000
0.000 0.000 7.745
Pr Ho In Pb
4 4 4 4
direct
0.000 0.000 0.000
0.000 0.500 0.500
0.500 0.000 0.500
0.500 0.500 0.000
0.000 0.000 0.500
0.000 0.500 0.000
0.500 0.000 0.000
0.500 0.500 0.500
0.250 0.250 0.250
0.250 0.750 0.750
0.750 0.250 0.750
0.750 0.750 0.250
0.250 0.250 0.750
0.250 0.750 0.250
0.750 0.250 0.250
0.750 0.750 0.750

(3)
GGA-PBE PrHoInPb, optimized geometry; formation energy = -0.463 eV per atom; magnetic moment = 0.0 Bohr magnetons per cell; offset from the most stable computed form = 0 meV per atom
1.0
5.044 0.000 0.000
0.000 5.044 0.000
0.000 0.000 9.007
Pr Ho In Pb
2 2 2 2
direct
0.000 0.000 0.000
0.500 0.500 0.500
0.000 0.000 0.500
0.500 0.500 0.000
0.000 0.500 0.750
0.500 0.000 0.250
0.000 0.500 0.250
0.500 0.000 0.750